--- w ---
Compound: TaReMo4
Source: Alexandria
Functional: GGA-PBE
Structure: relaxed

a = 3.1685 Å, b = 3.1738 Å, c = 9.5669 Å
α = 90.00°, β = 90.06°, γ = 90.00°
With the nearest neighbours (Å) after each atom.
Space group P2/m (No. 10)
Symmetry-distinct sites (fractional):
1 Ta 0.0000 0.0000 0.0000 x1  8 Mo 2.78
2 Re 0.5000 0.5000 0.5000 x1  8 Mo 2.74-2.75
3 Mo 0.9995 0.0000 0.3345 x2  4 Mo 2.72-2.73, 4 Re 2.74-2.75
4 Mo 0.5001 0.5000 0.1723 x2  4 Mo 2.72-2.73, 4 Ta 2.78

Calculated values
Its mass density is 12.961 g/cm³. The value obtained for the total magnetization is 0.0 Bohr magnetons per cell.

---

--- x ---
Compound: TaReMo4
Source: Alexandria
Functional: GGA-PBE
Structure: relaxed

a = 7.3492 Å, b = 7.3492 Å, c = 7.3492 Å
α = 90.00°, β = 90.00°, γ = 90.00°
With the nearest neighbours (Å) after each atom.
Space group F-43m (No. 216)
Symmetry-distinct sites (fractional):
1 Ta 0.0000 0.0000 0.0000 x4  12 Mo 3.05, 4 Re 3.18
2 Re 0.2500 0.2500 0.2500 x4  12 Mo 3.05, 4 Ta 3.18
3 Mo 0.1256 0.1256 0.6256 x16  6 Mo 2.59-2.61

Calculated values
Its mass density is 12.566 g/cm³. The value obtained for the total magnetization is 0.0 Bohr magnetons per cell.

---

--- y ---
Compound: TaReMo4
Source: Alexandria
Functional: GGA-PBE
Structure: relaxed

a = 5.3750 Å, b = 8.0818 Å, c = 9.0014 Å
α = 90.00°, β = 90.00°, γ = 90.00°
With the nearest neighbours (Å) after each atom.
Space group Cccm (No. 66)
Symmetry-distinct sites (fractional):
1 Ta 0.2500 0.2500 0.0000 x4  10 Mo 2.70-3.01
2 Re 0.0000 0.0000 0.2500 x4  10 Mo 2.69-3.01
3 Mo 0.0000 0.3326 0.2500 x8  3 Re 2.69-3.01, 2 Ta 2.70, 5 Mo 2.71-3.00
4 Mo 0.2477 0.0852 0.5000 x8  3 Mo 2.66-2.71, 2 Re 2.70, 1 Ta 2.71

Calculated values
Its mass density is 12.756 g/cm³. The value obtained for the total magnetization is 0.0 Bohr magnetons per cell.

---

The calculated energies rank the structures as follows, beginning with the most stable: w, y, x.

---

--- w ---
Compound: TaReMo3
Source: Alexandria
Functional: GGA-PBE
Structure: relaxed

a = 5.2017 Å, b = 8.5694 Å, c = 7.6928 Å
α = 90.00°, β = 90.00°, γ = 90.00°
With the nearest neighbours (Å) after each atom.
Space group Pnma (No. 62)
Symmetry-distinct sites (fractional):
1 Ta 0.2258 0.2500 0.1550 x4  2 Re 2.84, 9 Mo 2.87-3.14, 2 Ta 2.98
2 Re 0.0000 0.0000 0.5000 x4  6 Mo 2.54-2.65, 2 Ta 2.84
3 Mo 0.0617 0.0500 0.8372 x8  2 Mo 2.53-2.72, 2 Re 2.64-2.65
4 Mo 0.2448 0.7500 0.0398 x4  2 Mo 2.53, 2 Re 2.54

Calculated values
Its mass density is 12.687 g/cm³. The value obtained for the total magnetization is 0.0 Bohr magnetons per cell.

---

--- x ---
Compound: TaReMo3
Source: Alexandria
Functional: GGA-PBE
Structure: relaxed

a = 4.6842 Å, b = 4.6842 Å, c = 4.6842 Å
α = 90.00°, β = 90.00°, γ = 90.00°
With the nearest neighbours (Å) after each atom.
Space group Pm-3m (No. 221)
Symmetry-distinct sites (fractional):
1 Ta 0.0000 0.0000 0.0000 x1  12 Mo 3.31
2 Re 0.5000 0.5000 0.5000 x1  6 Mo 2.34
3 Mo 0.0000 0.5000 0.5000 x3  2 Re 2.34

Calculated values
Its mass density is 10.582 g/cm³. The value obtained for the total magnetization is 0.0 Bohr magnetons per cell.

---

The calculated energies rank the structures as follows, beginning with the most stable: w, x.

---

--- w ---
Compound: TaReMo3
Source: Alexandria
Functional: GGA-PBE
Structure: relaxed

a = 4.7887 Å, b = 13.5601 Å, c = 5.3182 Å
α = 90.00°, β = 107.79°, γ = 90.00°
With the nearest neighbours (Å) after each atom.
Space group C2/c (No. 15)
Symmetry-distinct sites (fractional):
1 Ta 0.0000 0.1977 0.2500 x4  6 Mo 2.66-2.78
2 Re 0.0000 0.0000 0.0000 x4  2 Re 2.66, 4 Mo 2.72-2.79
3 Mo 0.0000 0.1987 0.7500 x4  4 Ta 2.66-2.78, 2 Mo 2.67
4 Mo 0.0101 0.3992 0.0036 x8  4 Mo 2.65-2.73, 2 Re 2.72-2.79, 1 Ta 2.74

Calculated values
Its mass density is 13.230 g/cm³. The value obtained for the total magnetization is 0.0 Bohr magnetons per cell.

---

--- x ---
Compound: TaReMo3
Source: Alexandria
Functional: GGA-PBE
Structure: relaxed

a = 4.6572 Å, b = 4.6572 Å, c = 4.6572 Å
α = 90.00°, β = 90.00°, γ = 90.00°
With the nearest neighbours (Å) after each atom.
Space group Pm-3m (No. 221)
Symmetry-distinct sites (fractional):
1 Ta 0.0000 0.0000 0.0000 x1  6 Mo 2.33
2 Re 0.5000 0.5000 0.5000 x1  12 Mo 3.29
3 Mo 0.0000 0.0000 0.5000 x3  2 Ta 2.33

Calculated values
Its mass density is 10.767 g/cm³. The value obtained for the total magnetization is 0.1 Bohr magnetons per cell.

---

The calculated energies rank the structures as follows, beginning with the most stable: w, x.

---

--- w ---
Compound: ReTcMo2
Source: Alexandria
Functional: GGA-PBE
Structure: relaxed

a = 2.7784 Å, b = 2.7784 Å, c = 27.5678 Å
α = 90.00°, β = 90.00°, γ = 120.00°
With the nearest neighbours (Å) after each atom.
Space group R-3m (No. 166, hexagonal axes)
Symmetry-distinct sites (fractional):
1 Re 0.0000 0.0000 0.0000 x3  6 Re 2.78, 6 Mo 2.82
2 Tc 0.0000 0.0000 0.5000 x3  6 Tc 2.78, 6 Mo 2.79
3 Mo 0.0000 0.0000 0.2494 x6  6 Mo 2.78, 3 Tc 2.79, 3 Re 2.82

Calculated values
Its mass density is 12.869 g/cm³. The value obtained for the total magnetization is 0.0 Bohr magnetons per cell.

---

--- x ---
Compound: ReTcMo2
Source: Alexandria
Functional: GGA-PBE
Structure: relaxed

a = 3.1358 Å, b = 4.4174 Å, c = 8.8796 Å
α = 90.00°, β = 90.00°, γ = 90.00°
With the nearest neighbours (Å) after each atom.
Space group Cmm2 (No. 35)
Symmetry-distinct sites (fractional):
1 Re 0.0000 0.0000 0.0000 x2  2 Tc 2.70, 4 Re 2.71, 2 Mo 2.72
2 Tc 0.0000 0.5000 0.7529 x2  2 Re 2.70, 2 Mo 2.70, 4 Tc 2.71
3 Mo 0.0000 0.0000 0.5047 x2  2 Tc 2.70, 6 Mo 2.71-2.75
4 Mo 0.0000 0.5000 0.2503 x2  6 Mo 2.71-2.75, 2 Re 2.72

Calculated values
Its mass density is 12.854 g/cm³. The value obtained for the total magnetization is 0.0 Bohr magnetons per cell.

---

The calculated energies rank the structures as follows, beginning with the most stable: x, w.

---

--- w ---
Compound: ReTcMo2
Source: Alexandria
Functional: GGA-PBE
Structure: relaxed

a = 6.2649 Å, b = 6.2649 Å, c = 6.2649 Å
α = 90.00°, β = 90.00°, γ = 90.00°
With the nearest neighbours (Å) after each atom.
Space group F-43m (No. 216)
Symmetry-distinct sites (fractional):
1 Re 0.0000 0.0000 0.0000 x4  4 Tc 2.71, 4 Mo 2.71
2 Tc 0.2500 0.2500 0.2500 x4  4 Mo 2.71, 4 Re 2.71
3 Mo 0.0000 0.0000 0.5000 x4  4 Mo 2.71, 4 Tc 2.71
4 Mo 0.2500 0.2500 0.7500 x4  4 Mo 2.71, 4 Re 2.71

Calculated values
Its mass density is 12.860 g/cm³. The value obtained for the total magnetization is 0.0 Bohr magnetons per cell.

---

--- x ---
Compound: ReTcMo2
Source: Alexandria
Functional: GGA-PBE
Structure: relaxed

a = 2.7150 Å, b = 4.4245 Å, c = 5.2069 Å
α = 90.00°, β = 100.71°, γ = 90.00°
With the nearest neighbours (Å) after each atom.
Space group Pm (No. 6)
Symmetry-distinct sites (fractional):
1 Re 0.0000 0.0000 0.0000 x1  4 Mo 2.66-2.75, 2 Re 2.71, 2 Tc 2.78
2 Tc 0.6983 0.5000 0.2555 x1  4 Mo 2.67-2.74, 2 Tc 2.71, 2 Re 2.78
3 Mo 0.2325 0.5000 0.7562 x1  2 Tc 2.67-2.74, 2 Re 2.68, 4 Mo 2.71
4 Mo 0.4561 0.0000 0.4985 x1  2 Re 2.66-2.75, 2 Tc 2.69, 4 Mo 2.71

Calculated values
Its mass density is 12.864 g/cm³. The value obtained for the total magnetization is 0.0 Bohr magnetons per cell.

---

The calculated energies rank the structures as follows, beginning with the most stable: x, w.

---

--- w ---
Compound: ReTcMo2
Source: Alexandria
Functional: GGA-PBE
Structure: relaxed

a = 2.7086 Å, b = 4.4359 Å, c = 5.1922 Å
α = 90.00°, β = 100.00°, γ = 90.00°
With the nearest neighbours (Å) after each atom.
Space group P2/m (No. 10)
Symmetry-distinct sites (fractional):
1 Re 0.0000 0.0000 0.0000 x1  4 Mo 2.71, 2 Re 2.71, 2 Tc 2.71
2 Tc 0.5000 0.0000 0.5000 x1  2 Tc 2.71, 2 Re 2.71, 4 Mo 2.72
3 Mo 0.2404 0.5000 0.7497 x2  4 Mo 2.69-2.73, 2 Re 2.71, 2 Tc 2.72

Calculated values
Its mass density is 12.868 g/cm³. The value obtained for the total magnetization is 0.0 Bohr magnetons per cell.

---

--- x ---
Compound: ReTcMo2
Source: Alexandria
Functional: GGA-PBE
Structure: relaxed

a = 4.4429 Å, b = 4.4429 Å, c = 3.1150 Å
α = 90.00°, β = 90.00°, γ = 90.00°
With the nearest neighbours (Å) after each atom.
Space group P4/mmm (No. 123)
Symmetry-distinct sites (fractional):
1 Re 0.0000 0.0000 0.0000 x1  8 Mo 2.71
2 Tc 0.5000 0.5000 0.0000 x1  8 Mo 2.71
3 Mo 0.0000 0.5000 0.5000 x2  4 Re 2.71, 4 Tc 2.71

Calculated values
Its mass density is 12.857 g/cm³. The value obtained for the total magnetization is 0.0 Bohr magnetons per cell.

---

--- y ---
Compound: ReTcMo2
Source: Alexandria
Functional: GGA-PBE
Structure: relaxed

a = 3.1229 Å, b = 3.1229 Å, c = 6.3237 Å
α = 90.00°, β = 90.00°, γ = 90.00°
With the nearest neighbours (Å) after each atom.
Space group P4mm (No. 99)
Symmetry-distinct sites (fractional):
1 Re 0.0000 0.0000 0.0000 x1  4 Mo 2.65, 4 Tc 2.80
2 Tc 0.5000 0.5000 0.2723 x1  4 Mo 2.66, 4 Re 2.80
3 Mo 0.0000 0.0000 0.5061 x1  4 Tc 2.66, 4 Mo 2.76
4 Mo 0.5000 0.5000 0.7670 x1  4 Re 2.65, 4 Mo 2.76

Calculated values
Its mass density is 12.819 g/cm³. The value obtained for the total magnetization is 0.0 Bohr magnetons per cell.

---

--- z ---
Compound: ReTcMo2
Source: Alexandria
Functional: GGA-PBE
Structure: relaxed

a = 3.9508 Å, b = 3.9508 Å, c = 7.8892 Å
α = 90.00°, β = 90.00°, γ = 90.00°
With the nearest neighbours (Å) after each atom.
Space group I4/mmm (No. 139)
Symmetry-distinct sites (fractional):
1 Re 0.0000 0.0000 0.0000 x2  8 Mo 2.79, 4 Tc 2.79
2 Tc 0.0000 0.0000 0.5000 x2  8 Mo 2.79, 4 Re 2.79
3 Mo 0.0000 0.5000 0.2500 x4  4 Re 2.79, 4 Tc 2.79, 4 Mo 2.79

Calculated values
Its mass density is 12.840 g/cm³. The value obtained for the total magnetization is 0.0 Bohr magnetons per cell.

---

The calculated energies rank the structures as follows, beginning with the most stable: x, w, y, z.

---

--- w ---
Compound: ReTcMo2
Source: Alexandria
Functional: GGA-PBE
Structure: relaxed

a = 3.1334 Å, b = 4.4372 Å, c = 8.8472 Å
α = 90.00°, β = 90.00°, γ = 90.00°
With the nearest neighbours (Å) after each atom.
Space group Immm (No. 71)
Symmetry-distinct sites (fractional):
1 Re 0.0000 0.0000 0.0000 x2  4 Mo 2.67, 4 Tc 2.72
2 Tc 0.0000 0.0000 0.5000 x2  4 Re 2.72, 4 Mo 2.75
3 Mo 0.0000 0.5000 0.2558 x4  2 Re 2.67, 4 Mo 2.72, 2 Tc 2.75

Calculated values
Its mass density is 12.854 g/cm³. The value obtained for the total magnetization is 0.0 Bohr magnetons per cell.

---

--- x ---
Compound: ReTcMo2
Source: Alexandria
Functional: GGA-PBE
Structure: relaxed

a = 3.1409 Å, b = 4.4225 Å, c = 8.8536 Å
α = 90.00°, β = 90.00°, γ = 90.00°
With the nearest neighbours (Å) after each atom.
Space group Imm2 (No. 44)
Symmetry-distinct sites (fractional):
1 Re 0.0000 0.0000 0.0000 x2  6 Mo 2.68-2.72, 2 Tc 2.80
2 Tc 0.0000 0.5000 0.7619 x2  6 Mo 2.71-2.74, 2 Re 2.80
3 Mo 0.0000 0.0000 0.5160 x2  2 Mo 2.63, 4 Re 2.72, 2 Tc 2.74
4 Mo 0.0000 0.5000 0.2549 x2  2 Mo 2.63, 2 Re 2.68, 4 Tc 2.71

Calculated values
Its mass density is 12.857 g/cm³. The value obtained for the total magnetization is 0.0 Bohr magnetons per cell.

---

The calculated energies rank the structures as follows, beginning with the most stable: x, w.

---

--- w ---
Compound: ReTcMo2
Source: Alexandria
Functional: GGA-PBE
Structure: relaxed

a = 3.9363 Å, b = 3.9363 Å, c = 7.9528 Å
α = 90.00°, β = 90.00°, γ = 90.00°
With the nearest neighbours (Å) after each atom.
Space group I-4m2 (No. 119)
Symmetry-distinct sites (fractional):
1 Re 0.0000 0.0000 0.0000 x2  8 Mo 2.78-2.80, 4 Tc 2.80
2 Tc 0.0000 0.5000 0.7500 x2  8 Mo 2.78-2.80, 4 Re 2.80
3 Mo 0.0000 0.0000 0.5000 x2  4 Re 2.78, 4 Tc 2.80, 4 Mo 2.80
4 Mo 0.0000 0.5000 0.2500 x2  4 Tc 2.78, 4 Re 2.80, 4 Mo 2.80

Calculated values
Its mass density is 12.831 g/cm³. The value obtained for the total magnetization is 0.0 Bohr magnetons per cell.

---

--- x ---
Compound: ReTcMo2
Source: Alexandria
Functional: GGA-PBE
Structure: relaxed

a = 2.7408 Å, b = 2.7408 Å, c = 8.2700 Å
α = 90.00°, β = 90.00°, γ = 90.00°
With the nearest neighbours (Å) after each atom.
Space group P4mm (No. 99)
Symmetry-distinct sites (fractional):
1 Re 0.0000 0.0000 0.0000 x1  4 Tc 2.67, 4 Re 2.74, 4 Mo 2.86
2 Tc 0.5000 0.5000 0.2225 x1  4 Re 2.67, 4 Tc 2.74, 4 Mo 2.85
3 Mo 0.0000 0.0000 0.4745 x1  8 Mo 2.74-2.97, 4 Tc 2.85
4 Mo 0.5000 0.5000 0.7464 x1  8 Mo 2.74-2.97, 4 Re 2.86

Calculated values
Its mass density is 12.726 g/cm³. The value obtained for the total magnetization is 0.0 Bohr magnetons per cell.

---

The calculated energies rank the structures as follows, beginning with the most stable: x, w.